VASP calculation (PBE) on an optimized crystal structure of Be3Cd.

For the energy above the most stable polymorph in this dataset, the calculation gives 258 meV/atom. As for the electronic total energy: -2.484 eV/atom.

abc: 5.6955 5.6955 5.6955
angles: 90.00 90.00 90.00
Last column: nearest neighbours and their distance in Å.
Space group Fm-3m (No. 225)
Unique sites:
Be  0.0000  0.0000  0.0000 (multiplicity 4)  8 Be 2.47
Be  0.2500  0.2500  0.2500 (multiplicity 8)  4 Cd 2.47, 4 Be 2.47
Cd  0.0000  0.0000  0.5000 (multiplicity 4)  8 Be 2.47



VASP calculation (PBE) on an optimized crystal structure of BeCd3.

For the energy above the most stable polymorph in this dataset, the calculation gives 9 meV/atom. As for the electronic total energy: -1.409 eV/atom.

abc: 7.4368 7.8348 5.1664
angles: 90.00 90.00 90.00
Last column: nearest neighbours and their distance in Å.
Space group Pnma (No. 62)
Unique sites:
Be  0.1378  0.2500  0.0689 (multiplicity 4)  8 Cd 2.60-2.77
Cd  0.0161  0.7500  0.4083 (multiplicity 4)  3 Be 2.70-2.93
Cd  0.1740  0.5586  0.8921 (multiplicity 8)  3 Be 2.60-2.77



VASP calculation (PBE) on an optimized crystal structure of BeCd7.

As for the electronic total energy: -1.055 eV/atom.

abc: 8.7310 8.7310 8.7310
angles: 90.00 90.00 90.00
Last column: nearest neighbours and their distance in Å.
Space group Fm-3m (No. 225)
Unique sites:
Be  0.0000  0.0000  0.0000 (multiplicity 4)  12 Cd 3.09
Cd  0.0000  0.0000  0.5000 (multiplicity 4)  12 Cd 3.09
Cd  0.0000  0.2500  0.2500 (multiplicity 24)  10 Cd 3.09, 2 Be 3.09



VASP calculation (PBE) on an optimized crystal structure of BeCd.

For the energy above the most stable polymorph in this dataset, the calculation gives 160 meV/atom. As for the electronic total energy: -1.890 eV/atom.

abc: 4.0518 2.9330 5.1338
angles: 90.00 90.00 90.00
Last column: nearest neighbours and their distance in Å.
Space group Pmma (No. 51)
Unique sites:
Be  0.2500  0.0000  0.1286 (multiplicity 2)  2 Be 2.42, 6 Cd 2.63-2.65
Cd  0.2500  0.5000  0.7022 (multiplicity 2)  6 Be 2.63-2.65, 4 Cd 2.90-2.93



VASP calculation (PBE) on an optimized crystal structure of Be3Cd.

For the energy above the most stable polymorph in this dataset, the calculation gives 183 meV/atom. As for the electronic total energy: -2.559 eV/atom.

abc: 3.5824 3.5824 14.4701
angles: 90.00 90.00 90.00
Last column: nearest neighbours and their distance in Å.
Space group I4/mmm (No. 139)
Unique sites:
Be  0.0000  0.0000  0.1062 (multiplicity 4)  4 Be 2.36, 4 Cd 2.55
Be  0.0000  0.5000  0.0000 (multiplicity 4)  8 Be 2.36-2.53, 4 Cd 2.57
Be  0.0000  0.5000  0.2500 (multiplicity 4)  4 Cd 2.52, 8 Be 2.53-2.75
Cd  0.0000  0.0000  0.3723 (multiplicity 4)  12 Be 2.52-2.57



VASP calculation (PBE) on an optimized crystal structure of BeCd3.

For the energy above the most stable polymorph in this dataset, the calculation gives 218 meV/atom. As for the electronic total energy: -1.200 eV/atom.

abc: 6.7359 6.7359 6.7359
angles: 90.00 90.00 90.00
Last column: nearest neighbours and their distance in Å.
Space group Fm-3m (No. 225)
Unique sites:
Be  0.0000  0.0000  0.0000 (multiplicity 4)  8 Cd 2.92
Cd  0.0000  0.0000  0.5000 (multiplicity 4)  8 Cd 2.92
Cd  0.2500  0.2500  0.2500 (multiplicity 8)  4 Cd 2.92, 4 Be 2.92



VASP calculation (PBE) on an optimized crystal structure of BeCd3.

For the energy above the most stable polymorph in this dataset, the calculation gives 98 meV/atom. As for the electronic total energy: -1.320 eV/atom.

abc: 10.1957 2.9175 5.7211
angles: 90.00 114.52 90.00
Last column: nearest neighbours and their distance in Å.
Space group C2/m (No. 12)
Unique sites:
Be  0.0000  0.0000  0.0000 (multiplicity 2)  4 Cd 2.54
Cd  0.0000  0.5000  0.5000 (multiplicity 2)  8 Cd 2.92-3.26, 4 Be 3.21
Cd  0.2210  0.5000  0.2212 (multiplicity 4)  2 Be 2.54



VASP calculation (PBE) on an optimized crystal structure of BeCd3.

For the energy above the most stable polymorph in this dataset, the calculation gives 72 meV/atom. As for the electronic total energy: -1.346 eV/atom.

abc: 3.1067 3.1067 8.9389
angles: 90.00 90.00 120.00
Last column: nearest neighbours and their distance in Å.
Space group P-6m2 (No. 187)
Unique sites:
Be  0.0000  0.0000  0.0000 (multiplicity 1)  6 Cd 2.62
Cd  0.0000  0.0000  0.5000 (multiplicity 1)  12 Cd 3.11-3.13
Cd  0.6667  0.3333  0.2132 (multiplicity 2)  3 Be 2.62



VASP calculation (PBE) on an optimized crystal structure of BeCd.

For the energy above the most stable polymorph in this dataset, the calculation gives 215 meV/atom. As for the electronic total energy: -1.835 eV/atom.

abc: 4.9560 4.9560 4.9560
angles: 90.00 90.00 90.00
Last column: nearest neighbours and their distance in Å.
Space group P2_13 (No. 198)
Unique sites:
Be  0.1075  0.3925  0.6075 (multiplicity 4)  7 Cd 2.53-2.72
Cd  0.0976  0.9024  0.4024 (multiplicity 4)  7 Be 2.53-2.72



VASP calculation (PBE) on an optimized crystal structure of BeCd5.

For the energy above the most stable polymorph in this dataset, the calculation gives 30 meV/atom. As for the electronic total energy: -1.203 eV/atom.

abc: 3.0584 3.0584 12.9109
angles: 90.00 90.00 90.00
Last column: nearest neighbours and their distance in Å.
Space group P4/mmm (No. 123)
Unique sites:
Be  0.0000  0.0000  0.0000 (multiplicity 1)  8 Cd 2.70
Cd  0.0000  0.0000  0.3133 (multiplicity 2)  12 Cd 3.06-3.25
Cd  0.5000  0.5000  0.1255 (multiplicity 2)  4 Be 2.70
Cd  0.5000  0.5000  0.5000 (multiplicity 1)  12 Cd 3.06-3.24



VASP calculation (PBE) on an optimized crystal structure of Be3Cd.

For the energy above the most stable polymorph in this dataset, the calculation gives 251 meV/atom. As for the electronic total energy: -2.491 eV/atom.

abc: 2.6829 2.6829 24.1144
angles: 90.00 90.00 120.00
Last column: nearest neighbours and their distance in Å.
Space group R-3m (No. 166, hexagonal axes)
Unique sites:
Be  0.0000  0.0000  0.0000 (multiplicity 3)  6 Be 2.25
Be  0.0000  0.0000  0.2658 (multiplicity 6)  3 Be 2.25
Cd  0.0000  0.0000  0.5000 (multiplicity 3)  6 Cd 2.68, 6 Be 2.85



VASP calculation (PBE) on an optimized crystal structure of BeCd3.

For the energy above the most stable polymorph in this dataset, the calculation gives 0 meV/atom. As for the electronic total energy: -1.418 eV/atom.

abc: 2.8375 4.3564 12.7055
angles: 90.00 90.00 90.00
Last column: nearest neighbours and their distance in Å.
Space group Immm (No. 71)
Unique sites:
Be  0.0000  0.0000  0.0000 (multiplicity 2)  8 Cd 2.60-2.73, 2 Be 2.84
Cd  0.0000  0.0000  0.5000 (multiplicity 2)  4 Be 2.60, 2 Cd 2.84
Cd  0.0000  0.5000  0.3167 (multiplicity 4)  2 Be 2.73, 2 Cd 2.84



VASP calculation (PBE) on an optimized crystal structure of BeCd5.

For the energy above the most stable polymorph in this dataset, the calculation gives 0 meV/atom. As for the electronic total energy: -1.233 eV/atom.

abc: 13.7578 2.8860 8.4060
angles: 90.00 127.56 90.00
Last column: nearest neighbours and their distance in Å.
Space group C2/m (No. 12)
Unique sites:
Be  0.0000  0.0000  0.0000 (multiplicity 2)  8 Cd 2.60-2.74, 2 Be 2.89
Cd  0.0000  0.0000  0.5000 (multiplicity 2)  6 Cd 2.89-3.13
Cd  0.1319  0.5000  0.3489 (multiplicity 4)  2 Be 2.74, 4 Cd 2.89-3.01
Cd  0.1545  0.5000  0.9925 (multiplicity 4)  2 Be 2.60, 2 Cd 2.89



VASP calculation (PBE) on an optimized crystal structure of Be3Cd.

For the energy above the most stable polymorph in this dataset, the calculation gives 165 meV/atom. As for the electronic total energy: -2.577 eV/atom.

abc: 4.5418 4.5418 4.5418
angles: 90.00 90.00 90.00
Last column: nearest neighbours and their distance in Å.
Space group Pm-3n (No. 223)
Unique sites:
Be  0.0000  0.2500  0.5000 (multiplicity 6)  2 Be 2.27, 4 Cd 2.54
Cd  0.0000  0.0000  0.0000 (multiplicity 2)  12 Be 2.54



VASP calculation (PBE) on an optimized crystal structure of Be3Cd.

For the energy above the most stable polymorph in this dataset, the calculation gives 90 meV/atom. As for the electronic total energy: -2.651 eV/atom.

abc: 2.6683 3.7431 4.7543
angles: 90.00 90.00 90.00
Last column: nearest neighbours and their distance in Å.
Space group Pmm2 (No. 25)
Unique sites:
Be  0.0000  0.0000  0.0000 (multiplicity 1)  4 Be 2.17-2.26
Be  0.0000  0.5000  0.2661 (multiplicity 1)  6 Be 2.26-2.34
Be  0.5000  0.0000  0.3606 (multiplicity 1)  6 Be 2.17-2.34
Cd  0.5000  0.5000  0.7525 (multiplicity 1)  10 Be 2.58-2.78, 2 Cd 2.67



VASP calculation (PBE) on an optimized crystal structure of Be3Cd.

For the energy above the most stable polymorph in this dataset, the calculation gives 101 meV/atom. As for the electronic total energy: -2.640 eV/atom.

abc: 2.7857 2.7857 5.9417
angles: 90.00 90.00 90.00
Last column: nearest neighbours and their distance in Å.
Space group P4/mmm (No. 123)
Unique sites:
Be  0.0000  0.0000  0.0000 (multiplicity 1)  8 Be 2.26
Be  0.5000  0.5000  0.1862 (multiplicity 2)  5 Be 2.21-2.26
Cd  0.0000  0.0000  0.5000 (multiplicity 1)  10 Be 2.71-2.97, 4 Cd 2.79



VASP calculation (PBE) on an optimized crystal structure of Be3Cd.

For the energy above the most stable polymorph in this dataset, the calculation gives 0 meV/atom. As for the electronic total energy: -2.741 eV/atom.

abc: 3.6508 4.8578 5.3534
angles: 90.00 90.00 90.00
Last column: nearest neighbours and their distance in Å.
Space group Pmmn (No. 59, origin choice 2)
Unique sites:
Be  0.2500  0.0210  0.1113 (multiplicity 4)  6 Be 2.15-2.22
Be  0.2500  0.7500  0.7928 (multiplicity 2)  6 Be 2.15-2.20
Cd  0.2500  0.2500  0.5865 (multiplicity 2)  10 Be 2.67-2.78



VASP calculation (PBE) on an optimized crystal structure of BeCd.

For the energy above the most stable polymorph in this dataset, the calculation gives 145 meV/atom. As for the electronic total energy: -1.905 eV/atom.

abc: 2.9183 2.9183 8.3587
angles: 90.00 90.00 120.00
Last column: nearest neighbours and their distance in Å.
Space group P-3m1 (No. 164)
Unique sites:
Be  0.3333  0.6667  0.0876 (multiplicity 2)  3 Be 2.23
Cd  0.3333  0.6667  0.6646 (multiplicity 2)  3 Be 2.67, 6 Cd 2.92



VASP calculation (PBE) on an optimized crystal structure of BeCd3.

For the energy above the most stable polymorph in this dataset, the calculation gives 111 meV/atom. As for the electronic total energy: -1.307 eV/atom.

abc: 5.8509 11.9356 4.4024
angles: 90.00 90.00 90.00
Last column: nearest neighbours and their distance in Å.
Space group Cmcm (No. 63)
Unique sites:
Be  0.0000  0.1325  0.2500 (multiplicity 4)  8 Cd 2.69-3.01
Cd  0.0000  0.3070  0.7500 (multiplicity 4)  6 Cd 2.95-3.01, 4 Be 3.01-3.03
Cd  0.2467  0.0854  0.7500 (multiplicity 8)  3 Be 2.69-2.98, 7 Cd 2.89-3.01



VASP calculation (PBE) on an optimized crystal structure of BeCd.

For the energy above the most stable polymorph in this dataset, the calculation gives 95 meV/atom. As for the electronic total energy: -1.955 eV/atom.

abc: 2.8453 2.8453 7.6679
angles: 90.00 90.00 90.00
Last column: nearest neighbours and their distance in Å.
Space group P4/nmm (No. 129, origin choice 2)
Unique sites:
Be  0.2500  0.2500  0.0706 (multiplicity 2)  4 Be 2.28
Cd  0.2500  0.2500  0.6741 (multiplicity 2)  5 Be 2.81-3.04, 4 Cd 2.85